1.
Below is Pm2Pr2NdSm4 after structural relaxation, with properties calculated at the GGA-PBE level.

Calculated values
The crystal system is monoclinic. As for the density of states at the Fermi level: 1.33 states/eV per atom. The formation energy comes out at 0.5 kJ per mole of atoms. Its symmetry is No. 12.

```
9
Lattice="3.690 0.000 0.000 -1.845 9.566 -0.489 0.000 -3.796 9.048" Properties=species:S:1:pos:R:3 pbc="T T T"
Pm 1.845 5.469 2.685
Pm 0.000 0.301 5.874
Pr 0.000 2.588 8.719
Pr 1.845 3.181 -0.161
Nd 0.000 0.000 0.000
Sm 1.845 3.494 5.714
Sm 0.000 2.275 2.845
Sm 1.845 -0.906 3.001
Sm 0.000 6.676 5.558
```



2.
Below is Pm6Pr3Nd2Sm after structural relaxation, with properties calculated at the GGA-PBE level.

Calculated values
The crystal system is monoclinic. As for the density of states at the Fermi level: 1.55 states/eV per atom. The formation energy comes out at 1.2 kJ per mole of atoms. Its symmetry is No. 12.

```
12
Lattice="6.364 -0.002 0.001 -3.182 5.512 0.001 -1.071 -1.855 11.971" Properties=species:S:1:pos:R:3 pbc="T T T"
Pm 3.174 1.826 8.997
Pm 2.120 3.670 2.978
Pm -1.063 1.830 2.976
Pm -0.005 3.661 8.997
Pm -0.008 -0.014 8.995
Pm 2.116 -0.006 2.976
Pr -2.126 3.665 5.987
Pr 4.237 -0.010 5.987
Pr 1.056 1.828 5.987
Nd 0.001 3.674 0.001
Nd 3.181 1.837 0.001
Sm 0.000 0.000 0.000
```



3.
Below is Pm2PrNd2Sm after structural relaxation, with properties calculated at the GGA-PBE level.

Calculated values
The crystal system is orthorhombic. As for the density of states at the Fermi level: 1.85 states/eV per atom. The formation energy comes out at 23.3 kJ per mole of atoms. Its symmetry is No. 58.

```
12
Lattice="3.461 0.000 0.000 0.000 6.782 0.000 0.000 0.000 18.168" Properties=species:S:1:pos:R:3 pbc="T T T"
Pm 1.730 5.266 6.359
Pm 1.730 1.516 11.810
Pm 0.000 4.907 15.443
Pm 0.000 1.875 2.725
Pr 0.000 0.000 0.000
Pr 1.730 3.391 9.084
Nd 1.730 1.841 5.777
Nd 0.000 5.232 3.308
Nd 1.730 4.940 12.392
Nd 0.000 1.550 14.861
Sm 1.730 3.391 0.000
Sm 0.000 0.000 9.084
```



4.
Below is PmPrNdSm after structural relaxation, with properties calculated at the GGA-PBE level.

Calculated values
The crystal system is tetragonal. As for the density of states at the Fermi level: 1.62 states/eV per atom. The formation energy comes out at 1.5 kJ per mole of atoms. Its symmetry is No. 119.

```
4
Lattice="-3.365 -0.251 3.943 -3.941 -0.152 -3.373 3.931 -4.990 -0.376" Properties=species:S:1:pos:R:3 pbc="T T T"
Pm -3.404 -4.828 0.203
Pr 0.248 -4.627 -0.082
Nd -1.861 -2.108 -1.722
Sm -1.573 -2.155 1.936
```



5.
Below is Pm2PrNd5Sm after structural relaxation, with properties calculated at the GGA-PBE level.

Calculated values
The crystal system is tetragonal. As for the density of states at the Fermi level: 1.53 states/eV per atom. The formation energy comes out at 24.9 kJ per mole of atoms. Its symmetry is No. 140.

```
18
Lattice="-2.751 -5.213 6.725 -1.831 -6.539 -5.818 9.673 3.062 0.385" Properties=species:S:1:pos:R:3 pbc="T T T"
Pm -1.023 -3.114 -1.440
Pm -1.912 -3.983 3.468
Pm -2.670 -7.769 -2.562
Pm -3.558 -8.638 2.346
Pr 3.691 -1.407 0.419
Pr 1.400 -7.283 0.873
Nd -0.691 -6.833 3.859
Nd 4.921 -2.222 3.783
Nd 5.782 -1.857 -2.567
Nd 6.457 0.956 0.930
Nd 4.246 -5.035 0.286
Nd -1.365 -9.646 0.362
Nd 0.845 -3.654 1.006
Nd 0.170 -6.467 -2.491
Nd -2.291 -5.876 0.453
Nd 0.000 0.000 0.000
Sm 2.776 -4.676 -2.490
Sm 2.316 -4.013 3.782
```



6.
Below is PmPrNd6Sm2 after structural relaxation, with properties calculated at the GGA-PBE level.

Calculated values
The crystal system is monoclinic. As for the density of states at the Fermi level: 1.52 states/eV per atom. The formation energy comes out at 10.8 kJ per mole of atoms. Its symmetry is No. 15.

```
20
Lattice="-8.982 -2.240 3.625 3.222 -8.360 0.937 1.880 5.979 6.471" Properties=species:S:1:pos:R:3 pbc="T T T"
Pm 0.180 -0.414 5.127
Pm -4.060 -4.208 5.906
Pr 0.946 -8.597 1.968
Pr -4.826 3.975 9.065
Nd 1.285 3.388 5.155
Nd -1.525 2.193 7.572
Nd -5.166 -8.010 5.878
Nd -2.356 -6.814 3.461
Nd 1.145 -6.341 4.853
Nd 0.205 -5.064 1.317
Nd -5.025 1.720 6.180
Nd -4.086 0.443 9.716
Nd 2.114 -3.203 4.290
Nd -1.221 -3.313 3.767
Nd -5.994 -1.419 6.743
Nd -2.659 -1.308 7.266
Sm -0.171 -3.529 6.979
Sm 0.914 -1.388 1.696
Sm -3.709 -1.093 4.054
Sm -4.795 -3.234 9.337
```



Repeat the sixth record exactly.
Below is PmPrNd6Sm2 after structural relaxation, with properties calculated at the GGA-PBE level.

Calculated values
The crystal system is monoclinic. As for the density of states at the Fermi level: 1.52 states/eV per atom. The formation energy comes out at 10.8 kJ per mole of atoms. Its symmetry is No. 15.

```
20
Lattice="-8.982 -2.240 3.625 3.222 -8.360 0.937 1.880 5.979 6.471" Properties=species:S:1:pos:R:3 pbc="T T T"
Pm 0.180 -0.414 5.127
Pm -4.060 -4.208 5.906
Pr 0.946 -8.597 1.968
Pr -4.826 3.975 9.065
Nd 1.285 3.388 5.155
Nd -1.525 2.193 7.572
Nd -5.166 -8.010 5.878
Nd -2.356 -6.814 3.461
Nd 1.145 -6.341 4.853
Nd 0.205 -5.064 1.317
Nd -5.025 1.720 6.180
Nd -4.086 0.443 9.716
Nd 2.114 -3.203 4.290
Nd -1.221 -3.313 3.767
Nd -5.994 -1.419 6.743
Nd -2.659 -1.308 7.266
Sm -0.171 -3.529 6.979
Sm 0.914 -1.388 1.696
Sm -3.709 -1.093 4.054
Sm -4.795 -3.234 9.337
```



Repeat the fourth record exactly.
Below is PmPrNdSm after structural relaxation, with properties calculated at the GGA-PBE level.

Calculated values
The crystal system is tetragonal. As for the density of states at the Fermi level: 1.62 states/eV per atom. The formation energy comes out at 1.5 kJ per mole of atoms. Its symmetry is No. 119.

```
4
Lattice="-3.365 -0.251 3.943 -3.941 -0.152 -3.373 3.931 -4.990 -0.376" Properties=species:S:1:pos:R:3 pbc="T T T"
Pm -3.404 -4.828 0.203
Pr 0.248 -4.627 -0.082
Nd -1.861 -2.108 -1.722
Sm -1.573 -2.155 1.936
```



Look up the density of states at the Fermi level of the third one.
1.85 states/eV per atom



What is the density of states at the Fermi level in the sixth record?
1.52 states/eV per atom